A relaxed Ta4W2Au3N3 crystal, computed with PBE.

Computed properties:
* total DFT energy (no corrections): -9.32 eV per atom
* spin magnetization: 0.00 μB/atom

Cell and atoms, written as POSCAR:
```
Ta4W2Au3N3
1.0
-1.838 0.953 5.105
-0.878 -4.204 3.449
13.434 2.031 1.468
Ta N Au W
8 6 6 4
direct
0.791 0.985 0.413
0.209 0.015 0.587
0.985 0.791 0.913
0.698 0.848 0.087
0.848 0.698 0.587
0.152 0.302 0.413
0.302 0.152 0.913
0.015 0.209 0.087
0.143 0.676 0.500
0.324 0.857 0.000
0.676 0.143 0.000
0.000 0.500 0.000
0.500 0.000 0.500
0.857 0.324 0.500
0.732 0.585 0.255
0.268 0.415 0.745
0.900 0.100 0.750
0.100 0.900 0.250
0.415 0.268 0.245
0.585 0.732 0.755
0.472 0.629 0.422
0.629 0.472 0.922
0.528 0.371 0.578
0.371 0.528 0.078
```